Record 1
Compound: VPO4
Source: Alexandria via LeMat-Bulk
Functional: SCAN
Structure: single point on PBEsol structure

## Properties
The crystal system is orthorhombic. For the uncorrected formation energy, the calculation gives -2602 meV/atom.

Cell lengths 8.660, 6.394, 4.700 Å; angles 90.00, 90.00, 90.00 degrees
Space group Pnma (No. 62)
Unique sites:
V 0.000 0.000 0.000 (multiplicity 4)
P 0.177 0.250 0.478 (multiplicity 4)
O 0.116 0.250 0.792 (multiplicity 4)
O 0.121 0.050 0.332 (multiplicity 8)
O 0.143 0.750 0.946 (multiplicity 4)

Record 2
Compound: KMgBeAu2
Source: Alexandria via LeMat-Bulk
Functional: SCAN
Structure: single point on PBEsol structure

## Properties
The crystal system is tetragonal. Its formation energy is 0.709 eV per atom. The value obtained for the density of states at the Fermi level is 0.267 states/eV per atom.

Cell lengths 5.009, 5.009, 5.794 Å; angles 90.00, 90.00, 90.00 degrees
Space group P4/mmm (No. 123)
Unique sites:
K 0.000 0.000 0.000 (multiplicity 1)
Mg 0.000 0.000 0.500 (multiplicity 1)
Be 0.500 0.500 0.000 (multiplicity 1)
Au 0.000 0.500 0.500 (multiplicity 2)

Record 3
Compound: Zr3CCl
Source: Alexandria via LeMat-Bulk
Functional: SCAN
Structure: single point on PBEsol structure

## Properties
The crystal system is cubic. The value obtained for the density of states at the Fermi level is 0.764 states/eV per atom. For the uncorrected formation energy, the calculation gives 1194 meV/atom.

Cell lengths 4.617, 4.617, 4.617 Å; angles 90.00, 90.00, 90.00 degrees
Space group Pm-3m (No. 221)
Unique sites:
Zr 0.000 0.000 0.500 (multiplicity 3)
C 0.500 0.500 0.500 (multiplicity 1)
Cl 0.000 0.000 0.000 (multiplicity 1)

Going through the records in order, we get total magnetization values of 2.0 0.0 0.0 μB/f.u..
Going through the records in order, we get calculated density values of 3.72 5.33 5.42 g/cm³.